# 1
Here is an optimized crystal structure of PaCoHO4 from Alexandria via LeMat-Bulk. Energies are from PBE+U.

Cell: 5.3035 6.4525 6.4525 Å, 68.45 65.73 65.73°
Closest atoms and distances in Å follow each position.
Element x y z (fractional)
Pa 0.0000 0.0000 0.0000  6 O 2.09-2.30
Pa 0.0000 0.5000 0.5000  6 O 2.09-2.30
Co 0.5000 0.0000 0.5000  4 O 1.93
Co 0.0000 0.0000 0.5000  4 O 1.93
H 0.5242 0.7258 0.2258  2 O 1.24
H 0.4758 0.2742 0.7742  2 O 1.24
O 0.7793 0.7812 0.6603  2 Co 1.93, 1 Pa 2.09
O 0.2207 0.8397 0.7188  2 Co 1.93, 1 Pa 2.09
O 0.7793 0.1603 0.2812  2 Co 1.93, 1 Pa 2.09
O 0.2207 0.2188 0.3397  2 Co 1.93, 1 Pa 2.09
O 0.2812 0.7349 0.2349  1 H 1.24
O 0.7490 0.7349 0.2349  1 H 1.24
O 0.2510 0.2651 0.7651  1 H 1.24
O 0.7188 0.2651 0.7651  1 H 1.24

Results
E_tot (eV per cell): -104.467


# 2
Here is an optimized crystal structure of PaCo2H2O7 from Alexandria via LeMat-Bulk. Energies are from PBE+U.

Cell: 6.0479 6.0479 7.4895 Å, 66.19 66.19 60.00°
Closest atoms and distances in Å follow each position.
Element x y z (fractional)
Pa 0.0000 0.0000 0.0000  6 O 2.16
Co 0.7382 0.7382 0.7855  3 O 1.74
Co 0.2618 0.2618 0.2145  3 O 1.74
H 0.5474 0.5474 0.3577  1 O 0.94
H 0.4526 0.4526 0.6423  1 O 0.94
O 0.1050 0.1054 0.1893  1 Co 1.74
O 0.1054 0.6003 0.1893  1 Co 1.74
O 0.6003 0.1050 0.1893  1 Co 1.74
O 0.5000 0.5000 0.5000  2 H 0.94
O 0.8950 0.3997 0.8107  1 Co 1.74
O 0.3997 0.8946 0.8107  1 Co 1.74
O 0.8946 0.8950 0.8107  1 Co 1.74

Results
E_tot (eV per cell): -77.186
D(E_F) (states/eV/cell): 10.413


# 3
Here is an optimized crystal structure of CoH2PbO4 from Alexandria via LeMat-Bulk. Energies are from PBE+U.

Cell: 4.6119 4.9100 4.9100 Å, 73.59 61.99 61.99°
Closest atoms and distances in Å follow each position.
Element x y z (fractional)
Co 0.5000 0.5000 0.5000  4 O 1.82
H 0.1832 0.3168 0.3168  2 O 1.22
H 0.8168 0.6832 0.6832  2 O 1.22
Pb 0.0000 0.0000 0.0000  4 O 2.42
O 0.4173 0.2116 0.4145  1 H 1.22
O 0.0434 0.7884 0.5855  1 H 1.22
O 0.9566 0.4145 0.2116  1 H 1.22
O 0.5827 0.5855 0.7884  1 H 1.22

Results
E_tot (eV per cell): -41.953
D(E_F) (states/eV/cell): 1.819


# 4
Here is an optimized crystal structure of Pm2CoHO6 from Alexandria via LeMat-Bulk. Energies are from PBE+U.

Cell: 6.3034 8.1396 4.8654 Å, 90.00 75.20 90.00°
Closest atoms and distances in Å follow each position.
Element x y z (fractional)
Pm 0.1159 0.8147 0.2717  7 O 2.38-2.49
Pm 0.6159 0.6853 0.7717  7 O 2.38-2.49
Pm 0.8841 0.1853 0.7283  7 O 2.38-2.49
Pm 0.3841 0.3147 0.2283  7 O 2.38-2.49
Co 0.5000 0.0000 0.5000  6 O 1.82-1.91
Co 0.0000 0.5000 0.0000  6 O 1.82-1.91
H 0.5000 0.0000 0.0000  2 O 1.21
H 0.0000 0.5000 0.5000  2 O 1.21
O 0.2828 0.5637 0.0383  1 Co 1.91
O 0.7828 0.9363 0.5383  1 Co 1.91
O 0.7172 0.4363 0.9617  1 Co 1.91
O 0.2172 0.0637 0.4617  1 Co 1.91
O 0.4627 0.7921 0.3824  1 Co 1.82
O 0.9627 0.7079 0.8824  1 Co 1.82
O 0.5373 0.2079 0.6176  1 Co 1.82
O 0.0373 0.2921 0.1176  1 Co 1.82
O 0.8833 0.5735 0.3798  1 H 1.21
O 0.3833 0.9265 0.8798  1 H 1.21
O 0.1167 0.4265 0.6202  1 H 1.21
O 0.6167 0.0735 0.1202  1 H 1.21

Results
E_tot (eV per cell): -135.545


# 5
Here is an optimized crystal structure of PuCoH2O6 from Alexandria via LeMat-Bulk. Energies are from PBE+U.

Cell: 5.0040 5.3451 5.4535 Å, 94.93 114.76 120.44°
Closest atoms and distances in Å follow each position.
Element x y z (fractional)
Pu 0.9969 0.4982 0.4806  4 O 1.91-1.92
Co 0.9969 0.9982 0.9806  6 O 1.90-1.93
H 0.6460 0.7478 0.1873  1 O 0.98
H 0.3432 0.2430 0.7692  1 O 0.98
O 0.5026 0.8591 0.7352  1 Co 1.91, 1 Pu 1.92
O 0.4912 0.1376 0.2259  1 Co 1.91, 1 Pu 1.92
O 0.8599 0.7672 0.2058  1 H 0.98
O 0.1174 0.3627 0.2343  1 Pu 1.91, 1 Co 1.93
O 0.8767 0.6338 0.7272  1 Pu 1.91, 1 Co 1.93
O 0.1348 0.2301 0.7563  1 H 0.98

Results
E_tot (eV per cell): -70.413
D(E_F) (states/eV/cell): 0.526


# 6
Here is an optimized crystal structure of Rb2CoH12S2O14 from Alexandria via LeMat-Bulk. Energies are from PBE+U.

Cell: 6.3409 9.2569 12.5295 Å, 90.00 90.00 104.76°
Closest atoms and distances in Å follow each position.
Element x y z (fractional)
Rb 0.6607 0.8713 0.3478  7 O 2.92-3.20, 1 H 3.10
Rb 0.3394 0.6287 0.8478  7 O 2.92-3.20, 1 H 3.10
Rb 0.3393 0.1287 0.6522  7 O 2.92-3.20, 1 H 3.10
Rb 0.6606 0.3713 0.1522  7 O 2.92-3.20, 1 H 3.10
Co 0.0000 0.5000 0.5000  6 O 2.05-2.16
Co 0.0000 0.0000 0.0000  6 O 2.05-2.16
H 0.6780 0.4756 0.6427  1 O 1.00
H 0.3220 0.0244 0.1427  1 O 1.00
H 0.3220 0.5244 0.3573  1 O 1.00
H 0.6780 0.9756 0.8573  1 O 1.00
H 0.6723 0.6102 0.5649  1 O 1.00
H 0.3277 0.8898 0.0650  1 O 1.00
H 0.0820 0.7753 0.4009  1 O 1.00
H 0.9180 0.7248 0.9009  1 O 1.00
H 0.9180 0.2247 0.5991  1 O 1.00
H 0.0820 0.2752 0.0991  1 O 1.00
H 0.9109 0.2556 0.3739  1 O 0.99
H 0.0890 0.2444 0.8739  1 O 0.99
H 0.0891 0.7444 0.6261  1 O 0.99
H 0.9110 0.7556 0.1261  1 O 0.99
H 0.6792 0.2829 0.4085  1 O 1.00
H 0.3208 0.2171 0.9085  1 O 1.00
H 0.3208 0.7171 0.5915  1 O 1.00
H 0.6792 0.7829 0.0915  1 O 1.00
H 0.9814 0.8496 0.8116  1 O 1.00
H 0.0186 0.6504 0.3117  1 O 1.00
H 0.6723 0.1102 0.9350  1 O 1.00
H 0.3277 0.3898 0.4351  1 O 1.00
H 0.9814 0.3496 0.6883  1 O 1.00
H 0.0186 0.1504 0.1884  1 O 1.00
S 0.7272 0.4031 0.8591  4 O 1.49-1.50
S 0.2728 0.0969 0.3591  4 O 1.49-1.50
S 0.2728 0.5969 0.1409  4 O 1.49-1.50
S 0.7272 0.9031 0.6409  4 O 1.49-1.50
O 0.1681 0.6668 0.6120  2 H 0.99-1.00
O 0.1681 0.1668 0.8880  2 H 0.99-1.00
O 0.9863 0.1737 0.1134  2 H 1.00
O 0.0137 0.3263 0.6134  2 H 1.00
O 0.0137 0.8263 0.8866  2 H 1.00
O 0.9863 0.6737 0.3866  2 H 1.00
O 0.7110 0.0127 0.9317  2 H 1.00
O 0.8319 0.8332 0.1120  2 H 0.99-1.00
O 0.2890 0.9873 0.0683  2 H 1.00
O 0.7110 0.5127 0.5683  2 H 1.00
O 0.0604 0.1251 0.3239  1 S 1.50
O 0.9396 0.3749 0.8239  1 S 1.50
O 0.9396 0.8749 0.6761  1 S 1.50
O 0.0604 0.6251 0.1761  1 S 1.50
O 0.3928 0.2228 0.4292  1 S 1.50
O 0.6072 0.2772 0.9292  1 S 1.50
O 0.6072 0.7772 0.5708  1 S 1.50
O 0.3928 0.7228 0.0708  1 S 1.50
O 0.2335 0.9556 0.4211  1 S 1.49
O 0.7664 0.5444 0.9211  1 S 1.49
O 0.7665 0.0444 0.5789  1 S 1.49
O 0.2336 0.4556 0.0789  1 S 1.49
O 0.2890 0.4873 0.4317  2 H 1.00
O 0.5883 0.4098 0.7638  1 S 1.49
O 0.5883 0.9098 0.7362  1 S 1.49
O 0.4117 0.5902 0.2362  1 S 1.49
O 0.8319 0.3332 0.3880  2 H 0.99-1.00
O 0.4117 0.0902 0.2638  1 S 1.49

Results
E_tot (eV per cell): -331.221
D(E_F) (states/eV/cell): 0.000


# 7
Here is an optimized crystal structure of Rb2CoH12Se2O14 from Alexandria via LeMat-Bulk. Energies are from PBE+U.

Cell: 6.4648 9.3784 12.7154 Å, 90.00 90.00 104.22°
Closest atoms and distances in Å follow each position.
Element x y z (fractional)
Rb 0.3423 0.1307 0.6533  8 O 2.97-3.31, 1 H 3.15
Rb 0.6577 0.3693 0.1533  8 O 2.97-3.31, 1 H 3.15
Rb 0.6577 0.8693 0.3467  8 O 2.97-3.31, 1 H 3.15
Rb 0.3423 0.6307 0.8467  8 O 2.97-3.31, 1 H 3.15
Co 0.0000 0.0000 0.0000  6 O 1.98-2.19
Co 0.0000 0.5000 0.5000  6 O 1.98-2.19
H 0.3136 0.2001 0.9109  1 O 1.00
H 0.6864 0.2999 0.4109  1 O 1.00
H 0.6864 0.7999 0.0891  1 O 1.00
H 0.3136 0.7001 0.5891  1 O 1.00
H 0.0932 0.2365 0.8747  1 O 0.99
H 0.9068 0.2635 0.3747  1 O 0.99
H 0.9068 0.7635 0.1253  1 O 0.99
H 0.0932 0.7365 0.6253  1 O 0.99
H 0.9234 0.7274 0.9039  1 O 1.00
H 0.0766 0.7726 0.4039  1 O 1.00
H 0.0766 0.2726 0.0961  1 O 1.00
H 0.9234 0.2274 0.5961  1 O 1.00
H 0.9979 0.8485 0.8157  1 O 1.00
H 0.0021 0.6515 0.3157  1 O 1.00
H 0.0021 0.1515 0.1843  1 O 1.00
H 0.9979 0.3485 0.6843  1 O 1.00
H 0.3197 0.8970 0.0568  1 O 1.00
H 0.6803 0.6030 0.5568  1 O 1.00
H 0.6803 0.1030 0.9432  1 O 1.00
H 0.3197 0.3970 0.4432  1 O 1.00
H 0.3110 0.0276 0.1351  1 O 1.00
H 0.6889 0.4724 0.6351  1 O 1.00
H 0.6889 0.9724 0.8649  1 O 1.00
H 0.3110 0.5276 0.3649  1 O 1.00
Se 0.7314 0.4006 0.8589  4 O 1.67-1.69
Se 0.2686 0.0994 0.3589  4 O 1.67-1.69
Se 0.2686 0.5994 0.1411  4 O 1.67-1.69
Se 0.7314 0.9006 0.6411  4 O 1.67-1.69
O 0.5822 0.4112 0.7525  1 Se 1.68, 1 H 1.69
O 0.4178 0.0888 0.2525  1 Se 1.68, 1 H 1.69
O 0.4178 0.5888 0.2475  1 Se 1.68, 1 H 1.69
O 0.5822 0.9112 0.7475  1 Se 1.68, 1 H 1.69
O 0.7658 0.5544 0.9300  1 Se 1.67, 1 H 1.72
O 0.2342 0.9456 0.4300  1 Se 1.67, 1 H 1.72
O 0.2342 0.4456 0.0700  1 Se 1.67, 1 H 1.72
O 0.7658 0.0544 0.5700  1 Se 1.67, 1 H 1.72
O 0.5969 0.2599 0.9336  1 Se 1.68, 2 H 1.69-1.80
O 0.4031 0.2401 0.4336  1 Se 1.68, 2 H 1.69-1.80
O 0.4031 0.7401 0.0664  1 Se 1.68, 2 H 1.69-1.80
O 0.5969 0.7599 0.5664  1 Se 1.68, 2 H 1.69-1.80
O 0.9675 0.3715 0.8209  1 Se 1.69, 2 H 1.77-1.80
O 0.0325 0.1285 0.3209  1 Se 1.69, 2 H 1.77-1.80
O 0.0325 0.6285 0.1791  1 Se 1.69, 2 H 1.77-1.80
O 0.9675 0.8715 0.6791  1 Se 1.69, 2 H 1.77-1.80
O 0.1632 0.1556 0.8899  2 H 0.99-1.00
O 0.8368 0.3444 0.3899  2 H 0.99-1.00
O 0.8368 0.8444 0.1101  2 H 0.99-1.00
O 0.1632 0.6556 0.6101  2 H 0.99-1.00
O 0.0241 0.8247 0.8900  2 H 1.00
O 0.9759 0.6753 0.3900  2 H 1.00
O 0.9759 0.1753 0.1100  2 H 1.00
O 0.0241 0.3247 0.6100  2 H 1.00
O 0.2796 0.9932 0.0610  2 H 1.00
O 0.7204 0.5068 0.5610  2 H 1.00
O 0.7204 0.0068 0.9390  2 H 1.00
O 0.2796 0.4932 0.4390  2 H 1.00

Results
E_tot (eV per cell): -314.408
D(E_F) (states/eV/cell): 0.000


# 8
Here is an optimized crystal structure of CoRe2H8O12 from Alexandria via LeMat-Bulk. Energies are from PBE+U.

Cell: 6.9952 7.0273 7.4534 Å, 62.18 68.15 68.56°
Closest atoms and distances in Å follow each position.
Element x y z (fractional)
Co 0.5000 0.0000 0.0000  6 O 2.06-2.14
Re 0.0889 0.3241 0.2955  4 O 1.74-1.77
Re 0.9111 0.6759 0.7045  4 O 1.74-1.77
H 0.3732 0.6892 0.3673  1 O 0.99
H 0.7141 0.9655 0.2623  1 O 0.99
H 0.3904 0.4260 0.7228  1 O 0.99
H 0.7389 0.1869 0.0554  1 O 0.99
H 0.2611 0.8131 0.9446  1 O 0.99
H 0.6096 0.5740 0.2772  1 O 0.99
H 0.2859 0.0345 0.7377  1 O 0.99
H 0.6268 0.3108 0.6327  1 O 0.99
O 0.2065 0.1211 0.1862  1 Re 1.76
O 0.1410 0.5773 0.1055  1 Re 1.74, 1 H 1.82
O 0.1897 0.2471 0.5080  1 Re 1.75, 1 H 1.83
O 0.1876 0.6520 0.6177  1 Re 1.77, 2 H 1.78-1.80
O 0.6540 0.0748 0.1420  2 H 0.99
O 0.4850 0.6933 0.2375  2 H 0.99
O 0.5150 0.3067 0.7625  2 H 0.99
O 0.3460 0.9252 0.8580  2 H 0.99
O 0.8124 0.3480 0.3823  1 Re 1.77, 2 H 1.78-1.80
O 0.8103 0.7529 0.4920  1 Re 1.75, 1 H 1.83
O 0.8590 0.4227 0.8945  1 Re 1.74, 1 H 1.82
O 0.7935 0.8789 0.8138  1 Re 1.76

Results
E_tot (eV per cell): -146.098
D(E_F) (states/eV/cell): 0.000


# 9
Here is an optimized crystal structure of CoH2SO5 from Alexandria via LeMat-Bulk. Energies are from PBE+U.

Cell: 5.2169 5.2169 7.5774 Å, 106.60 106.60 97.75°
Closest atoms and distances in Å follow each position.
Element x y z (fractional)
Co 0.5000 0.0000 0.5000  6 O 2.07-2.19
Co 0.0000 0.5000 0.0000  6 O 2.07-2.19
H 0.4529 0.3670 0.7932  1 O 1.00
H 0.6330 0.5471 0.7068  1 O 1.00
H 0.5471 0.6330 0.2068  1 O 1.00
H 0.3670 0.4529 0.2932  1 O 1.00
S 0.0873 0.9127 0.7500  4 O 1.48-1.51
S 0.9127 0.0873 0.2500  4 O 1.48-1.51
O 0.6168 0.3832 0.7500  2 H 1.00
O 0.3832 0.6168 0.2500  2 H 1.00
O 0.1759 0.7859 0.9015  1 S 1.48
O 0.2141 0.8241 0.5985  1 S 1.48
O 0.8241 0.2141 0.0985  1 S 1.48
O 0.7859 0.1759 0.4015  1 S 1.48
O 0.7784 0.8256 0.6586  1 S 1.51
O 0.1744 0.2216 0.8414  1 S 1.51
O 0.2216 0.1744 0.3414  1 S 1.51
O 0.8256 0.7784 0.1586  1 S 1.51

Results
E_tot (eV per cell): -104.038
D(E_F) (states/eV/cell): 0.000


# 10
Here is an optimized crystal structure of CoH8SO8 from Alexandria via LeMat-Bulk. Energies are from PBE+U.

Cell: 6.0597 7.9211 13.5667 Å, 90.00 90.00 88.89°
Closest atoms and distances in Å follow each position.
Element x y z (fractional)
Co 0.5764 0.7210 0.6036  6 O 2.07-2.16
Co 0.0764 0.2210 0.8964  6 O 2.07-2.16
Co 0.4236 0.2790 0.3964  6 O 2.07-2.16
Co 0.9236 0.7790 0.1036  6 O 2.07-2.16
H 0.8696 0.9716 0.5847  1 O 0.99
H 0.3696 0.4716 0.9153  1 O 0.99
H 0.1304 0.0284 0.4153  1 O 0.99
H 0.6304 0.5284 0.0847  1 O 0.99
H 0.9513 0.8233 0.5128  1 O 0.99
H 0.4513 0.3233 0.9872  1 O 0.99
H 0.0487 0.1767 0.4872  1 O 0.99
H 0.5487 0.6767 0.0128  1 O 0.99
H 0.1948 0.6624 0.6880  1 O 0.99
H 0.6948 0.1624 0.8120  1 O 0.99
H 0.8052 0.3376 0.3120  1 O 0.99
H 0.3052 0.8376 0.1880  1 O 0.99
H 0.1974 0.5573 0.5875  1 O 0.98
H 0.6974 0.0573 0.9125  1 O 0.98
H 0.8026 0.4427 0.4125  1 O 0.98
H 0.3026 0.9427 0.0875  1 O 0.98
H 0.3121 0.9612 0.6873  1 O 0.98
H 0.8121 0.4612 0.8127  1 O 0.98
H 0.6879 0.0388 0.3127  1 O 0.98
H 0.1879 0.5388 0.1873  1 O 0.98
H 0.4337 0.0553 0.5986  1 O 0.99
H 0.9337 0.5553 0.9014  1 O 0.99
H 0.5663 0.9447 0.4014  1 O 0.99
H 0.0663 0.4447 0.0986  1 O 0.99
H 0.8135 0.7838 0.7659  1 O 0.98
H 0.3135 0.2838 0.7341  1 O 0.98
H 0.1865 0.2162 0.2341  1 O 0.98
H 0.6865 0.7162 0.2659  1 O 0.98
H 0.5819 0.7200 0.8071  1 O 0.99
H 0.0819 0.2200 0.6929  1 O 0.99
H 0.4181 0.2800 0.1929  1 O 0.99
H 0.9181 0.7800 0.3071  1 O 0.99
S 0.6949 0.3184 0.6088  4 O 1.48-1.51
S 0.1949 0.8184 0.8912  4 O 1.48-1.51
S 0.3051 0.6816 0.3912  4 O 1.48-1.51
S 0.8051 0.1816 0.1088  4 O 1.48-1.51
O 0.5077 0.2479 0.5501  1 S 1.50
O 0.0077 0.7479 0.9499  1 S 1.50
O 0.4923 0.7521 0.4499  1 S 1.50
O 0.9923 0.2521 0.0501  1 S 1.50
O 0.7481 0.4897 0.5703  1 S 1.49
O 0.2481 0.9897 0.9297  1 S 1.49
O 0.2519 0.5103 0.4297  1 S 1.49
O 0.7519 0.0103 0.0703  1 S 1.49
O 0.8961 0.2056 0.5958  1 S 1.51
O 0.3961 0.7056 0.9042  1 S 1.51
O 0.1039 0.7944 0.4042  1 S 1.51
O 0.6039 0.2944 0.0958  1 S 1.51
O 0.6323 0.3222 0.7141  1 S 1.48
O 0.1323 0.8222 0.7859  1 S 1.48
O 0.3677 0.6778 0.2859  1 S 1.48
O 0.8677 0.1778 0.2141  1 S 1.48
O 0.8660 0.8485 0.5736  2 H 0.99
O 0.3660 0.3485 0.9264  2 H 0.99
O 0.1340 0.1515 0.4264  2 H 0.99
O 0.6340 0.6515 0.0736  2 H 0.99
O 0.2866 0.5903 0.6442  2 H 0.98-0.99
O 0.7866 0.0903 0.8558  2 H 0.98-0.99
O 0.7134 0.4097 0.3558  2 H 0.98-0.99
O 0.2134 0.9097 0.1442  2 H 0.98-0.99
O 0.3988 0.9433 0.6270  2 H 0.98-0.99
O 0.8988 0.4433 0.8730  2 H 0.98-0.99
O 0.6012 0.0567 0.3730  2 H 0.98-0.99
O 0.1012 0.5567 0.1270  2 H 0.98-0.99
O 0.6875 0.7114 0.7511  2 H 0.98-0.99
O 0.1875 0.2114 0.7489  2 H 0.98-0.99
O 0.3125 0.2886 0.2489  2 H 0.98-0.99
O 0.8125 0.7886 0.2511  2 H 0.98-0.99

Results
E_tot (eV per cell): -385.518
D(E_F) (states/eV/cell): 0.000


# 11
Here is an optimized crystal structure of CoH2SeO4 from Alexandria via LeMat-Bulk. Energies are from PBE+U.

Cell: 4.8564 5.7287 13.7762 Å, 90.00 90.00 92.07°
Closest atoms and distances in Å follow each position.
Element x y z (fractional)
Co 0.1642 0.8725 0.2331  6 O 2.06-2.26
Co 0.8358 0.1275 0.7669  6 O 2.06-2.26
Co 0.3358 0.6275 0.7331  6 O 2.06-2.26
Co 0.6642 0.3725 0.2669  6 O 2.06-2.26
H 0.7895 0.7323 0.6333  1 O 0.99
H 0.7105 0.7677 0.1333  1 O 0.99
H 0.2105 0.2677 0.3667  1 O 0.99
H 0.2895 0.2323 0.8667  1 O 0.99
H 0.7009 0.4664 0.6191  1 O 0.99
H 0.7992 0.0337 0.1191  1 O 0.99
H 0.2991 0.5336 0.3809  1 O 0.99
H 0.2008 0.9664 0.8809  1 O 0.99
Se 0.2515 0.1244 0.6076  3 O 1.70-1.77
Se 0.2485 0.3756 0.1076  3 O 1.70-1.77
Se 0.7485 0.8756 0.3924  3 O 1.70-1.77
Se 0.7515 0.6244 0.8924  3 O 1.70-1.77
O 0.1086 0.3458 0.6789  1 Se 1.77
O 0.3914 0.1542 0.1789  1 Se 1.77
O 0.8914 0.6542 0.3211  1 Se 1.77
O 0.6086 0.8458 0.8211  1 Se 1.77
O 0.6021 0.3940 0.8223  1 Se 1.77, 1 H 1.85
O 0.8979 0.1060 0.3223  1 Se 1.77, 1 H 1.85
O 0.3979 0.6060 0.1777  1 Se 1.77, 1 H 1.85
O 0.1021 0.8940 0.6777  1 Se 1.77, 1 H 1.85
O 0.0909 0.6349 0.8634  1 Se 1.70
O 0.4091 0.8651 0.3633  1 Se 1.70
O 0.9091 0.3651 0.1366  1 Se 1.70
O 0.5909 0.1349 0.6367  1 Se 1.70
O 0.6290 0.6254 0.6191  2 H 0.99
O 0.8710 0.8746 0.1191  2 H 0.99
O 0.3709 0.3746 0.3808  2 H 0.99
O 0.1290 0.1254 0.8809  2 H 0.99

Results
E_tot (eV per cell): -171.776
D(E_F) (states/eV/cell): 0.000